Computed, not measured: AgHg5S6 after structural relaxation at the PBE-GGA level of DFT.

a b c (Å): 10.839 10.474 11.413
angles (deg): 45.21 22.16 40.28
Fractional coordinates of all 12 atoms:
S1 0.631 0.736 0.626
S2 0.690 0.263 0.670
S3 0.116 0.163 0.977
S4 0.884 0.837 0.023
S5 0.310 0.737 0.330
S6 0.369 0.264 0.374
Hg1 0.754 0.569 0.390
Hg2 0.714 0.943 0.656
Hg3 0.500 0.500 0.000
Hg4 0.286 0.057 0.344
Hg5 0.246 0.431 0.610
Ag1 0.000 0.000 0.000

crystal system	triclinic
theoretical density	6.8	Mg/m³
calculated total energy	-2.475	eV/atom